## NdY2Tm2 (GGA-PBE)

Data for a geometry-optimized NdY2Tm2 structure.

a = 3.5152 Å, b = 5.7161 Å, c = 16.3402 Å
α = 90.00°, β = 90.00°, γ = 90.00°
Space group Amm2 (No. 38)
Unique sites:
Nd1 0.0000 0.0000 0.0000 (multiplicity 2)
Y1 0.0000 0.0000 0.7639 (multiplicity 2)
Y2 0.5000 0.0000 0.1932 (multiplicity 2)
Tm1 0.0000 0.0000 0.3833 (multiplicity 2)
Tm2 0.5000 0.0000 0.5734 (multiplicity 2)

Volume ... 32.83 A^3/atom
Distance to the lowest polymorph of the same formula ... 35.5 meV/atom
DOS at the Fermi energy ... 17.82 states/eV per cell
Magnetization ... 0.0 μB/cell